Record 1
Tb2BeCo5Si2: relaxed, GGA-PBE.

```
Tb2BeCo5Si2
1.0
3.166 0.000 0.000
0.000 9.388 0.000
0.000 0.000 9.388
Be Co Tb Si
2 10 4 4
Cartesian
0.000 0.000 0.000
0.000 4.694 4.694
1.583 0.000 4.694
1.583 4.694 0.000
1.583 8.798 1.936
1.583 2.758 5.284
1.583 7.452 8.798
1.583 5.284 6.629
1.583 4.104 2.758
1.583 1.936 0.590
1.583 6.629 4.104
1.583 0.590 7.452
0.000 1.647 3.047
0.000 7.741 6.341
0.000 6.341 1.647
0.000 3.047 7.741
0.000 3.536 1.158
0.000 1.158 5.851
0.000 5.851 8.230
0.000 8.230 3.536
```

- space group = P4/mbm, No. 127
- crystal system = tetragonal
- formation energy (no corrections) (eV/atom) = -0.281

Record 2
CePrTm2Sb4: relaxed, GGA-PBE.

```
CePrTm2Sb4
1.0
-2.922 1.685 2.882
-5.545 -0.641 -5.247
-3.347 -6.894 0.637
Ce Sb Tm Pr
1 4 2 1
Cartesian
-4.446 -3.767 -2.305
-6.715 -5.611 -3.528
-5.300 -4.492 0.667
-5.099 -0.238 1.799
-6.514 -1.358 -2.395
-3.347 -6.894 0.637
-3.135 -2.605 1.759
-4.234 0.522 -1.183
```

- space group = P2/m, No. 10
- crystal system = monoclinic
- formation energy (no corrections) (eV/atom) = -1.089

Record 3
Ac3Cd7Ga4: relaxed, GGA-PBE.

```
Ac3Cd7Ga4
1.0
-2.330 3.302 2.543
-8.762 -0.984 -2.268
-4.609 -4.702 6.366
Cd Ac Ga
7 3 4
Cartesian
-6.089 -0.435 -0.532
-10.188 -2.072 2.322
0.000 0.000 0.000
-9.612 -1.949 7.173
-5.513 -0.311 4.319
-9.012 0.016 0.688
-6.689 -2.399 5.953
-12.365 -2.192 4.966
-6.685 -2.843 2.049
-3.336 -0.192 1.675
-9.080 -3.059 4.619
-11.763 0.223 2.381
-6.621 0.676 2.022
-3.938 -2.607 4.260
```

- space group = C2/m, No. 12
- crystal system = monoclinic
- energy of formation (kJ/mol of formula units) = -501

Record 4
TaMo2Se: relaxed, GGA-PBE.

```
TaMo2Se
1.0
-0.958 2.653 -1.505
-3.741 -0.128 2.156
1.911 2.661 3.474
Mo Se Ta
2 1 1
Cartesian
0.000 0.000 0.000
-2.350 1.262 0.325
0.476 2.657 0.984
-0.915 1.267 2.815
```

- space group = Pmmm, No. 47
- crystal system = orthorhombic
- formation energy (no corrections) (eV/atom) = 0.211

no.,total moment (μB/f.u.),theoretical density (Mg/m³),N(E_F) (states/eV per cell)
1,0.00,8.1,5.73
2,0.75,7.5,7.68
3,0.00,8.3,4.12
4,0.00,11.4,2.83